No. 1
A geometry-optimized HfTlFeNi structure. Source: the Open Quantum Materials Database, functional PBE.

SG   No. 216

Structure (POSCAR):
```
HfTlFeNi
1.0
3.7514 -2.4079 0.4190
0.1629 -4.1844 -1.5843
2.4772 -0.9315 -3.6113
Fe Hf Ni Tl
1 1 1 1
Cartesian
4.7936 -5.6429 -3.5825
3.1958 -3.7619 -2.3883
1.5979 -1.8810 -1.1942
0.0000 0.0000 0.0000
```

No. 2
A geometry-optimized HfNpFe structure. Source: the Open Quantum Materials Database, functional PBE.

ΔH_f (0 K)   0.37 eV per atom
SG   No. 216

Structure (POSCAR):
```
HfNpFe
1.0
-2.3334 -0.2788 3.6503
-3.8454 -2.0146 -0.0305
-0.4607 -3.8283 1.9946
Fe Hf Np
1 1 1
Cartesian
0.0000 0.0000 0.0000
-4.9796 -4.5913 4.2108
-1.6599 -1.5304 1.4036
```

No. 3
A geometry-optimized HfFeOs structure. Source: the Open Quantum Materials Database, functional PBE.

ΔH_f (0 K)   0.21 eV per atom
SG   No. 216

Structure (POSCAR):
```
HfFeOs
1.0
3.4528 -1.7161 -1.5065
1.4684 -3.4960 1.6606
-0.2082 -3.5471 -2.1239
Fe Hf Os
1 1 1
Cartesian
0.0000 0.0000 0.0000
1.1783 -2.1898 -0.4925
3.5348 -6.5694 -1.4774
```

No. 4
A geometry-optimized HfFeOs structure. Source: the Open Quantum Materials Database, functional PBE.

ΔH_f (0 K)   0.79 eV per atom
SG   No. 216

Structure (POSCAR):
```
HfFeOs
1.0
0.4869 -4.0174 -1.2715
-2.9346 -2.9036 0.9747
-2.5068 -1.5831 -3.0335
Fe Hf Os
1 1 1
Cartesian
-2.4773 -4.2520 -1.6651
-1.2387 -2.1260 -0.8326
0.0000 0.0000 0.0000
```

No. 5
A geometry-optimized HfFeOsPb structure. Source: the Open Quantum Materials Database, functional PBE.

SG   No. 216

Structure (POSCAR):
```
HfFeOsPb
1.0
3.2915 -0.4887 3.1162
0.2992 2.9316 3.4785
-1.0440 -1.3607 4.2241
Fe Hf Os Pb
1 1 1 1
Cartesian
1.9101 0.8117 8.1141
1.2734 0.5411 5.4094
0.6367 0.2706 2.7047
0.0000 0.0000 0.0000
```

No. 6
A geometry-optimized HfFeOsPb structure. Source: the Open Quantum Materials Database, functional PBE.

SG   No. 216

Structure (POSCAR):
```
HfFeOsPb
1.0
2.6584 -3.7949 -0.5565
0.0716 -3.3027 3.2963
-1.9886 -4.1443 -0.8056
Fe Hf Os Pb
1 1 1 1
Cartesian
0.5561 -8.4314 1.4506
0.1854 -2.8105 0.4835
0.3707 -5.6209 0.9671
0.0000 0.0000 0.0000
```

What did we get for M_tot? Answer: 1.323 4.123 0.483 2.566 0.003 3.784 μB per formula unit, in the order shown.
What did we get for energy above the lowest structure with this stoichiometry? Answer: 0 0 0 580 0 316 meV/atom, in the order shown.
What did we get for E? Answer: -6.53 -9.97 -9.62 -9.04 -8.17 -7.85 eV per atom, in the order shown.